# 1
VASP calculation (GGA-PBEsol) on a relaxed K2ReI crystal.

Lattice parameters (Å, degrees): 8.2674 8.2674 8.2674 90.00 90.00 90.00
Last column: nearest neighbours and their distance in Å.
Space group Fm-3m (No. 225)
Inequivalent atoms, fractional coordinates:
K  0.2500  0.2500  0.2500 (multiplicity 8)  4 I 3.58, 4 Re 3.58
Re  0.0000  0.0000  0.0000 (multiplicity 4)  8 K 3.58
I  0.0000  0.0000  0.5000 (multiplicity 4)  8 K 3.58

## Properties
* total moment: 1.00 μB/atom
* E_form (uncorrected): 1.081 eV/atom


# 2
VASP calculation (GGA-PBEsol) on a relaxed MnZnBr2 crystal.

Lattice parameters (Å, degrees): 7.0478 7.0478 7.0478 90.00 90.00 90.00
Last column: nearest neighbours and their distance in Å.
Space group F-43m (No. 216)
Inequivalent atoms, fractional coordinates:
Mn  0.0000  0.0000  0.0000 (multiplicity 4)  4 Br 3.05, 4 Zn 3.05
Zn  0.2500  0.2500  0.7500 (multiplicity 4)  4 Mn 3.05, 4 Br 3.05
Br  0.0000  0.0000  0.5000 (multiplicity 4)  4 Br 3.05, 4 Zn 3.05
Br  0.2500  0.2500  0.2500 (multiplicity 4)  4 Mn 3.05, 4 Br 3.05

## Properties
* total moment: 1.24 μB/atom
* E_form (uncorrected): 0.443 eV/atom
* distance to the lowest polymorph of the same formula: 478 meV/atom


# 3
VASP calculation (GGA-PBEsol) on a relaxed MnCu2Pt crystal.

Lattice parameters (Å, degrees): 3.6954 3.6954 7.4905 90.00 90.00 90.00
Last column: nearest neighbours and their distance in Å.
Space group I4/mmm (No. 139)
Inequivalent atoms, fractional coordinates:
Mn  0.0000  0.0000  0.0000 (multiplicity 2)  4 Pt 2.61, 8 Cu 2.63
Cu  0.0000  0.5000  0.2500 (multiplicity 4)  4 Cu 2.61, 4 Mn 2.63, 4 Pt 2.63
Pt  0.0000  0.0000  0.5000 (multiplicity 2)  4 Mn 2.61, 8 Cu 2.63

## Properties
* total moment: 1.02 μB/atom
* energy of formation: -0.116 eV per atom